First-principles (PBE) data for a relaxed NbPb3S crystal, as listed in the Alexandria database.

Output
As for the symmetry: No. 221. The uncorrected formation energy is 0.631 eV/atom. As for the total magnetization: 1.92 μB/cell. Its distance to the lowest polymorph of the same formula is 0.0 meV/atom. For the density of states at the Fermi level, the calculation gives 4.10 states/eV per cell. As for the theoretical density: 7.42 g/cm³.

a b c (Å): 5.508 5.508 5.508
angles (deg): 90.00 90.00 90.00
Fractional coordinates of all 5 atoms:
Nb (0.000, 0.000, 0.000)
Pb (0.000, 0.000, 0.500)
Pb (0.000, 0.500, 0.000)
Pb (0.500, 0.000, 0.000)
S (0.500, 0.500, 0.500)


First-principles (PBE) data for a relaxed TbHoNp crystal, as listed in the Alexandria database.

Output
The value obtained for the total energy is -7.152 eV per atom. As for the symmetry: No. 12. As for the total magnetization: 2.59 μB/cell. For the density of states at the Fermi level, the calculation gives 12.07 states/eV per cell. As for the theoretical density: 10.98 g/cm³.

a b c (Å): 8.583 8.583 5.815
angles (deg): 100.86 100.86 23.81
Fractional coordinates of all 6 atoms:
Tb (0.123, 0.123, 0.321)
Tb (0.877, 0.877, 0.679)
Ho (0.433, 0.433, 0.208)
Ho (0.567, 0.567, 0.792)
Np (0.238, 0.238, 0.860)
Np (0.762, 0.762, 0.140)


First-principles (PBE) data for a relaxed SrZr2Cd crystal, as listed in the Alexandria database.

Output
The value obtained for the total energy is -4.570 eV per atom. As for the symmetry: No. 44. As for the total magnetization: 0.60 μB/cell. For the density of states at the Fermi level, the calculation gives 5.38 states/eV per cell. As for the theoretical density: 5.83 g/cm³.

a b c (Å): 6.531 6.531 6.531
angles (deg): 150.49 126.74 62.06
Fractional coordinates of all 4 atoms:
Sr (0.000, 0.000, 0.000)
Zr (0.490, 0.490, 0.000)
Zr (0.714, 0.214, 0.500)
Cd (0.258, 0.758, 0.500)


First-principles (PBE) data for a relaxed ZrCrCo2H crystal, as listed in the Alexandria database.

Output
As for the symmetry: No. 123. As for the total magnetization: 1.15 μB/cell. Its distance to the lowest polymorph of the same formula is 1191.3 meV/atom. For the density of states at the Fermi level, the calculation gives 8.02 states/eV per cell. As for the theoretical density: 6.03 g/cm³.

a b c (Å): 4.638 4.638 3.354
angles (deg): 90.00 90.00 90.00
Fractional coordinates of all 5 atoms:
Zr (0.000, 0.000, 0.000)
Cr (0.500, 0.500, 0.500)
Co (0.000, 0.500, 0.000)
Co (0.500, 0.000, 0.000)
H (0.000, 0.000, 0.500)